A plane-wave DFT calculation with PBE-GGA was carried out for TlCd2AgCl6 after structural relaxation.

Calculated values
The calculation puts the uncorrected formation energy at -923.9 meV per atom. As for the total magnetic moment: 0.0 Bohr magnetons per cell. The total energy comes out at -2.7367 eV per atom. The calculation puts the calculated density at 3.68 g cm⁻³.

a b c (Å): 9.677 9.677 7.692
angles (deg): 104.12 104.12 88.20
Atoms (fractional coordinates):
Tl 0.116 0.884 0.750
Tl 0.884 0.116 0.250
Cd 0.238 0.388 0.803
Cd 0.388 0.238 0.303
Cd 0.612 0.762 0.697
Cd 0.762 0.612 0.197
Ag 0.227 0.773 0.250
Ag 0.773 0.227 0.750
Cl 0.049 0.195 0.678
Cl 0.131 0.616 0.936
Cl 0.195 0.049 0.178
Cl 0.312 0.442 0.529
Cl 0.384 0.869 0.564
Cl 0.442 0.312 0.029
Cl 0.558 0.688 0.971
Cl 0.616 0.131 0.436
Cl 0.688 0.558 0.471
Cl 0.805 0.951 0.822
Cl 0.869 0.384 0.064
Cl 0.951 0.805 0.322